No. 1
Material: BeFeAsCl2
Method: DFT, meta-GGA SCAN
State: single point on PBEsol structure

The structure in extended XYZ format:
```
5
Lattice="-0.4633 -0.0914 4.1030 3.6221 -3.6758 0.3271 3.6445 3.6351 0.4925" Properties=species:S:1:pos:R:3 pbc="T T T"
Cl 1.8222 1.8175 0.2463
Be -0.2317 -0.0457 2.0515
Fe 3.4016 -0.0661 2.4613
Cl 1.8111 -1.8379 0.1636
As 0.0000 0.0000 0.0000
```

electronic total energy = -11.11 eV/atom
total moment = 4.17 μB per formula unit

***

No. 2
Material: ZnFeP2
Method: DFT, meta-GGA SCAN
State: single point on PBEsol structure

The structure in extended XYZ format:
```
4
Lattice="-0.8499 1.6153 -3.6883 -2.3572 -2.0735 -2.6607 -3.8058 1.3210 -0.8402" Properties=species:S:1:pos:R:3 pbc="T T T"
Fe -3.5065 0.4314 -3.5946
P 0.0000 0.0000 0.0000
P -5.2597 0.6471 -5.3919
Zn -1.7532 0.2157 -1.7973
```

electronic total energy = -12.38 eV/atom
total moment = 0.00 μB per formula unit
formation energy from the elements = 2.934 eV per formula unit